Compound: ZrCdCoB
Source: OQMD
Functional: PBE-GGA
Structure: optimized geometry

abc: 6.1900 6.1900 6.1900
angles: 90.00 90.00 90.00
Last column: nearest neighbours and their distance in Å.
Space group F-43m (No. 216)
One atom of each set of equivalent atoms:
Zr1 0.0000 0.0000 0.0000 (multiplicity 4)  4 Cd 2.68, 4 Co 2.68
Cd1 0.2500 0.2500 0.2500 (multiplicity 4)  4 Zr 2.68, 4 B 2.68
Co1 0.2500 0.2500 0.7500 (multiplicity 4)  4 Zr 2.68, 4 B 2.68
B1 0.0000 0.0000 0.5000 (multiplicity 4)  4 Cd 2.68, 4 Co 2.68

## Properties
**Volume**: 237.18 Å³/cell
**Total magnetization**: 0.00 μB/atom
**Electronic total energy**: -0.3808 Ry per atom
**ρ**: 7.66 Mg/m³